Here is a relaxed structure of Ba4LaCr from Alexandria via LeMat-Bulk. Energies are from GGA-PBE.

Calculated values
- DFT formation energy (eV per atom) = 0.773
- raw total energy (eV per atom) = -2.9341

The structure in POSCAR format:
```
Ba4LaCr
1.0
0.0000 5.2906 5.2906
5.2906 0.0000 5.2906
5.2906 5.2906 0.0000
Ba La Cr
4 1 1
direct
0.1251 0.1251 0.1251 Ba
0.1251 0.1251 0.6248 Ba
0.1251 0.6248 0.1251 Ba
0.6248 0.1251 0.1251 Ba
0.5000 0.5000 0.5000 La
0.7500 0.7500 0.7500 Cr
```

=====

Here is a relaxed structure of Ho3Zn4Pd2 from Alexandria via LeMat-Bulk. Energies are from GGA-PBE.

Calculated values
- DFT formation energy (eV per atom) = -0.538
- offset from the most stable computed form (meV per atom) = 56
- raw total energy (eV per atom) = -3.7846

The structure in POSCAR format:
```
Ho3Zn4Pd2
1.0
4.4281 -2.4077 0.0000
4.4281 2.4077 0.0000
-1.3195 0.0000 8.3126
Ho Zn Pd
3 4 2
direct
0.0000 0.0000 0.0000 Ho
0.3783 0.3783 0.2863 Ho
0.6217 0.6217 0.7137 Ho
0.0675 0.0675 0.3736 Zn
0.3126 0.3126 0.9244 Zn
0.6874 0.6874 0.0756 Zn
0.9325 0.9325 0.6264 Zn
0.2859 0.2859 0.6161 Pd
0.7141 0.7141 0.3839 Pd
```

=====

Here is a relaxed structure of ZnTcH from Alexandria via LeMat-Bulk. Energies are from GGA-PBE.

Calculated values
- offset from the most stable computed form (meV per atom) = 0
- raw total energy (eV per atom) = -4.9282

The structure in POSCAR format:
```
ZnTcH
1.0
2.9428 0.0000 0.0000
-1.4714 2.5486 0.0000
0.0000 0.0000 4.2725
Zn Tc H
1 1 1
direct
0.0000 0.0000 0.0000 Zn
0.6667 0.3333 0.4841 Tc
0.3333 0.6667 0.6372 H
```

=====

Here is a relaxed structure of Sc4Ta3NbN8 from Alexandria via LeMat-Bulk. Energies are from GGA-PBE.

Calculated values
- raw total energy (eV per atom) = -10.1190

The structure in POSCAR format:
```
Sc4Ta3NbN8
1.0
3.1343 1.8096 5.1880
-3.1343 1.8096 5.1880
0.0000 -3.6192 5.1880
Sc Ta Nb N
4 3 1 8
direct
0.0000 0.0000 0.0000 Sc
0.0000 0.5000 0.5000 Sc
0.5000 0.0000 0.5000 Sc
0.5000 0.5000 0.0000 Sc
0.0000 0.0000 0.5000 Ta
0.0000 0.5000 0.0000 Ta
0.5000 0.0000 0.0000 Ta
0.5000 0.5000 0.5000 Nb
0.2429 0.7518 0.7518 N
0.2478 0.2478 0.2478 N
0.2482 0.2482 0.7571 N
0.2482 0.7571 0.2482 N
0.7518 0.2429 0.7518 N
0.7518 0.7518 0.2429 N
0.7522 0.7522 0.7522 N
0.7571 0.2482 0.2482 N
```

=====

Here is a relaxed structure of RbLiHfAu2 from Alexandria via LeMat-Bulk. Energies are from GGA-PBE.

Calculated values
- DFT formation energy (eV per atom) = 1.637
- raw total energy (eV per atom) = -2.2408

The structure in POSCAR format:
```
RbLiHfAu2
1.0
5.7408 0.0000 0.0000
0.0000 5.7408 0.0000
0.0000 0.0000 5.5889
Rb Li Hf Au
1 1 1 2
direct
0.0000 0.0000 0.0000 Rb
0.5000 0.5000 0.5000 Li
0.0000 0.0000 0.5000 Hf
0.0000 0.5000 0.0000 Au
0.5000 0.0000 0.0000 Au
```

=====

Here is a relaxed structure of Pm3Dy4Tl4 from Alexandria via LeMat-Bulk. Energies are from GGA-PBE.

Calculated values
- DFT formation energy (eV per atom) = -0.235
- raw total energy (eV per atom) = -4.0645

The structure in POSCAR format:
```
Pm3Dy4Tl4
1.0
-1.9021 4.8776 9.1552
1.9021 -4.8776 9.1552
1.9021 4.8776 -9.1552
Pm Dy Tl
3 4 4
direct
0.0000 0.0000 0.0000 Pm
0.3992 0.8992 0.5000 Pm
0.6008 0.1008 0.5000 Pm
0.0317 0.3331 0.6986 Dy
0.3655 0.6669 0.6986 Dy
0.6345 0.3331 0.3014 Dy
0.9683 0.6669 0.3014 Dy
0.2569 0.2569 0.0000 Tl
0.2785 0.5000 0.7785 Tl
0.7215 0.5000 0.2215 Tl
0.7431 0.7431 0.0000 Tl
```

=====

- What is the formula in the first record?
  Ba4LaCr